The following is a DFT calculation (PBE-GGA) of a relaxed SbP2O7 crystal.

abc: 8.151 7.312 9.551
angles: 69.76 90.00 90.00
Atoms (fractional coordinates):
P (0.745, 0.864, 0.856)
P (0.756, 0.488, 0.580)
P (0.256, 0.512, 0.920)
P (0.744, 0.488, 0.080)
P (0.255, 0.136, 0.144)
P (0.245, 0.136, 0.644)
P (0.244, 0.512, 0.420)
P (0.755, 0.864, 0.356)
O (0.883, 0.370, 0.691)
O (0.721, 0.387, 0.465)
O (0.427, 0.200, 0.630)
O (0.653, 0.690, 0.991)
O (0.117, 0.630, 0.309)
O (0.279, 0.613, 0.535)
O (0.073, 0.200, 0.130)
O (0.770, 0.055, 0.390)
O (0.270, 0.945, 0.110)
O (0.383, 0.630, 0.809)
O (0.847, 0.690, 0.491)
O (0.573, 0.800, 0.370)
O (0.779, 0.387, 0.965)
O (0.347, 0.310, 0.009)
O (0.221, 0.613, 0.035)
O (0.230, 0.945, 0.610)
O (0.898, 0.531, 0.155)
O (0.730, 0.055, 0.890)
O (0.102, 0.469, 0.845)
O (0.153, 0.310, 0.509)
O (0.838, 0.878, 0.211)
O (0.162, 0.122, 0.789)
O (0.617, 0.370, 0.191)
O (0.398, 0.469, 0.345)
O (0.338, 0.122, 0.289)
O (0.602, 0.531, 0.655)
O (0.662, 0.878, 0.711)
O (0.927, 0.800, 0.870)
Sb (0.050, 0.774, 0.093)
Sb (0.950, 0.226, 0.907)
Sb (0.450, 0.774, 0.593)
Sb (0.550, 0.226, 0.407)

Results
**Energy above the most stable polymorph in this dataset**: 0.109 eV per atom
**Space-group type**: No. 14
**Magnetic moment**: 0.00 μB/f.u.

=====

The following is a DFT calculation (PBE-GGA) of a relaxed SbPO3 crystal.

abc: 3.823 3.823 3.823
angles: 90.00 90.00 90.00
Atoms (fractional coordinates):
O (0.000, 0.500, 0.000)
O (0.500, 0.000, 0.000)
O (0.000, 0.000, 0.500)
P (0.000, 0.000, 0.000)
Sb (0.500, 0.500, 0.500)

Results
**Space-group type**: No. 221
**Magnetic moment**: 0.00 μB/f.u.
**Uncorrected energy**: -27.45 eV/f.u.

=====

The following is a DFT calculation (PBE-GGA) of a relaxed SbP2O crystal.

abc: 4.772 4.772 7.320
angles: 70.98 70.98 90.00
Atoms (fractional coordinates):
P (0.375, 0.527, 0.750)
P (0.473, 0.125, 0.250)
P (0.875, 0.723, 0.750)
P (0.277, 0.625, 0.250)
Sb (0.000, 0.000, 0.000)
Sb (0.750, 0.250, 0.500)
O (0.250, 0.750, 0.500)
O (0.500, 0.500, 0.000)

Results
**Energy above the most stable polymorph in this dataset**: 0.000 eV per atom
**Space-group type**: No. 122
**Magnetic moment**: 0.00 μB/f.u.

=====

The following is a DFT calculation (PBE-GGA) of a relaxed Sb3PO crystal.

abc: 4.757 4.757 4.757
angles: 90.00 90.00 90.00
Atoms (fractional coordinates):
Sb (0.500, 0.000, 0.000)
Sb (0.000, 0.500, 0.000)
Sb (0.000, 0.000, 0.500)
O (0.000, 0.000, 0.000)
P (0.500, 0.500, 0.500)

Results
**Energy above the most stable polymorph in this dataset**: 0.000 eV per atom
**Space-group type**: No. 221
**Magnetic moment**: 0.00 μB/f.u.

=====

The following is a DFT calculation (PBE-GGA) of a relaxed SbP2O6 crystal.

abc: 5.352 5.352 6.829
angles: 66.93 66.93 60.00
Atoms (fractional coordinates):
O (0.478, 0.906, 0.239)
O (0.634, 0.539, 0.761)
O (0.066, 0.634, 0.761)
O (0.376, 0.478, 0.239)
O (0.906, 0.376, 0.239)
O (0.539, 0.066, 0.761)
P (0.725, 0.725, 0.825)
P (0.608, 0.608, 0.176)
Sb (0.333, 0.333, 0.001)

Results
**Energy above the most stable polymorph in this dataset**: 0.207 eV per atom
**Space-group type**: No. 146
**Magnetic moment**: 0.00 μB/f.u.

=====

The following is a DFT calculation (PBE-GGA) of a relaxed SbP2O2 crystal.

abc: 3.769 3.769 4.611
angles: 90.00 90.00 90.00
Atoms (fractional coordinates):
O (0.000, 0.500, 0.000)
O (0.500, 0.000, 0.000)
P (0.000, 0.000, 0.500)
P (0.000, 0.000, 0.000)
Sb (0.500, 0.500, 0.500)

Results
**Energy above the most stable polymorph in this dataset**: 0.000 eV per atom
**Space-group type**: No. 123
**Magnetic moment**: 0.00 μB/f.u.

=====

The following is a DFT calculation (PBE-GGA) of a relaxed SbP2O7 crystal.

abc: 6.524 6.621 7.180
angles: 112.98 87.42 98.18
Atoms (fractional coordinates):
P (0.135, 0.781, 0.752)
P (0.387, 0.656, 0.359)
P (0.865, 0.219, 0.248)
P (0.613, 0.344, 0.641)
O (0.336, 0.944, 0.876)
O (0.225, 0.648, 0.531)
O (0.415, 0.416, 0.232)
O (0.991, 0.933, 0.713)
O (0.594, 0.789, 0.468)
O (0.009, 0.067, 0.287)
O (0.585, 0.584, 0.768)
O (0.306, 0.768, 0.233)
O (0.694, 0.232, 0.767)
O (0.775, 0.352, 0.469)
O (0.664, 0.056, 0.124)
O (0.963, 0.369, 0.154)
O (0.406, 0.211, 0.532)
O (0.037, 0.631, 0.846)
Sb (0.325, 0.084, 0.229)
Sb (0.675, 0.916, 0.771)

Results
**Energy above the most stable polymorph in this dataset**: 0.122 eV per atom
**Space-group type**: No. 2
**Magnetic moment**: 0.00 μB/f.u.

=====

The following is a DFT calculation (PBE-GGA) of a relaxed Sb3P3O13 crystal.

abc: 6.698 7.928 11.469
angles: 87.93 90.00 90.00
Atoms (fractional coordinates):
O (0.750, 0.831, 0.349)
O (0.750, 0.296, 0.639)
O (0.250, 0.704, 0.361)
O (0.250, 0.082, 0.864)
O (0.250, 0.516, 0.051)
O (0.250, 0.169, 0.651)
O (0.562, 0.652, 0.202)
O (0.559, 0.764, 0.906)
O (0.438, 0.348, 0.798)
O (0.565, 0.204, 0.463)
O (0.435, 0.796, 0.537)
O (0.941, 0.764, 0.906)
O (0.065, 0.796, 0.537)
O (0.250, 0.406, 0.248)
O (0.935, 0.204, 0.463)
O (0.059, 0.236, 0.094)
O (0.441, 0.236, 0.094)
O (0.750, 0.918, 0.136)
O (0.250, 0.014, 0.405)
O (0.250, 0.872, 0.108)
O (0.750, 0.128, 0.892)
O (0.750, 0.484, 0.949)
O (0.750, 0.986, 0.595)
O (0.938, 0.652, 0.202)
O (0.062, 0.348, 0.798)
O (0.750, 0.594, 0.752)
P (0.250, 0.334, 0.118)
P (0.750, 0.762, 0.225)
P (0.250, 0.238, 0.775)
P (0.750, 0.666, 0.882)
P (0.250, 0.833, 0.463)
P (0.750, 0.167, 0.537)
Sb (0.000, 0.000, 0.000)
Sb (0.250, 0.248, 0.473)
Sb (0.750, 0.752, 0.527)
Sb (0.500, 0.000, 0.000)
Sb (0.250, 0.655, 0.194)
Sb (0.750, 0.345, 0.806)

Results
**Space-group type**: No. 11
**Magnetic moment**: 0.00 μB/f.u.
**Uncorrected energy**: -126.40 eV/f.u.

=====

The following is a DFT calculation (PBE-GGA) of a relaxed SbPO5 crystal.

abc: 10.260 9.095 6.950
angles: 78.24 60.21 41.55
Atoms (fractional coordinates):
Sb (0.870, 0.381, 0.880)
Sb (0.869, 0.380, 0.380)
Sb (0.370, 0.380, 0.380)
Sb (0.870, 0.880, 0.381)
O (0.919, 0.430, 0.581)
O (0.643, 0.396, 0.645)
O (0.150, 0.030, 0.328)
O (0.492, 0.328, 0.030)
O (0.071, 0.581, 0.430)
O (0.519, 0.661, 0.003)
O (0.885, 0.154, 0.827)
O (0.096, 0.365, 0.116)
O (0.669, 0.179, 0.331)
O (0.818, 0.003, 0.661)
O (0.605, 0.933, 0.607)
O (0.854, 0.607, 0.933)
O (0.922, 0.758, 0.100)
O (0.134, 0.827, 0.154)
O (0.820, 0.331, 0.179)
O (0.589, 0.731, 0.432)
O (0.247, 0.432, 0.731)
O (0.317, 0.645, 0.396)
O (0.220, 0.100, 0.758)
O (0.423, 0.116, 0.365)
P (0.709, 0.220, 0.791)
P (0.459, 0.970, 0.541)
P (0.280, 0.791, 0.220)
P (0.030, 0.541, 0.970)

Results
**Energy above the most stable polymorph in this dataset**: 0.045 eV per atom
**Space-group type**: No. 70
**Magnetic moment**: 0.00 μB/f.u.

=====

The following is a DFT calculation (PBE-GGA) of a relaxed SbPO3 crystal.

abc: 3.974 3.974 3.974
angles: 90.00 90.00 90.00
Atoms (fractional coordinates):
O (0.000, 0.000, 0.500)
O (0.000, 0.500, 0.000)
O (0.500, 0.000, 0.000)
P (0.500, 0.500, 0.500)
Sb (0.000, 0.000, 0.000)

Results
**Space-group type**: No. 221
**Magnetic moment**: 0.00 μB/f.u.
**Uncorrected energy**: -25.45 eV/f.u.

=====

The following is a DFT calculation (PBE-GGA) of a relaxed SbPO5 crystal.

abc: 5.352 5.352 7.143
angles: 73.43 73.43 99.74
Atoms (fractional coordinates):
Sb (0.000, 0.000, 0.000)
Sb (0.000, 0.000, 0.500)
O (0.094, 0.906, 0.750)
O (0.375, 0.259, 0.902)
O (0.625, 0.741, 0.098)
O (0.134, 0.686, 0.127)
O (0.741, 0.625, 0.598)
O (0.866, 0.314, 0.873)
O (0.314, 0.866, 0.373)
O (0.686, 0.134, 0.627)
O (0.259, 0.375, 0.402)
O (0.906, 0.094, 0.250)
P (0.668, 0.332, 0.750)
P (0.332, 0.668, 0.250)

Results
**Energy above the most stable polymorph in this dataset**: 0.000 eV per atom
**Space-group type**: No. 15
**Magnetic moment**: 0.00 μB/f.u.

=====

The following is a DFT calculation (PBE-GGA) of a relaxed SbP2O7 crystal.

abc: 16.615 8.247 8.182
angles: 90.45 90.00 90.00
Atoms (fractional coordinates):
P (0.909, 0.260, 0.123)
P (0.071, 0.218, 0.574)
P (0.688, 0.044, 0.389)
P (0.812, 0.044, 0.889)
P (0.929, 0.782, 0.426)
P (0.091, 0.740, 0.877)
P (0.669, 0.545, 0.109)
P (0.571, 0.782, 0.926)
P (0.169, 0.455, 0.391)
P (0.409, 0.740, 0.377)
P (0.429, 0.218, 0.074)
P (0.188, 0.956, 0.111)
P (0.312, 0.956, 0.611)
P (0.591, 0.260, 0.623)
P (0.331, 0.455, 0.891)
P (0.831, 0.545, 0.609)
O (0.412, 0.363, 0.948)
O (0.659, 0.512, 0.289)
O (0.985, 0.283, 0.030)
O (0.279, 0.931, 0.083)
O (0.221, 0.931, 0.583)
O (0.170, 0.616, 0.494)
O (0.515, 0.283, 0.530)
O (0.876, 0.773, 0.279)
O (0.851, 0.404, 0.136)
O (0.072, 0.811, 0.702)
O (0.740, 0.651, 0.057)
O (0.485, 0.717, 0.470)
O (0.857, 0.109, 0.047)
O (0.624, 0.773, 0.779)
O (0.260, 0.349, 0.943)
O (0.980, 0.242, 0.616)
O (0.581, 0.937, 0.035)
O (0.333, 0.132, 0.635)
O (0.520, 0.242, 0.116)
O (0.159, 0.488, 0.211)
O (0.020, 0.758, 0.384)
O (0.928, 0.189, 0.298)
O (0.357, 0.891, 0.453)
O (0.015, 0.717, 0.970)
O (0.330, 0.616, 0.994)
O (0.351, 0.596, 0.364)
O (0.919, 0.937, 0.535)
O (0.588, 0.637, 0.052)
O (0.721, 0.069, 0.917)
O (0.833, 0.868, 0.865)
O (0.164, 0.847, 0.257)
O (0.240, 0.349, 0.443)
O (0.336, 0.847, 0.757)
O (0.667, 0.868, 0.365)
O (0.841, 0.512, 0.789)
O (0.341, 0.488, 0.711)
O (0.760, 0.651, 0.557)
O (0.149, 0.596, 0.864)
O (0.088, 0.363, 0.448)
O (0.779, 0.069, 0.417)
O (0.419, 0.063, 0.965)
O (0.124, 0.227, 0.721)
O (0.376, 0.227, 0.221)
O (0.081, 0.063, 0.465)
O (0.664, 0.153, 0.243)
O (0.912, 0.637, 0.552)
O (0.167, 0.132, 0.135)
O (0.572, 0.189, 0.798)
O (0.428, 0.811, 0.202)
O (0.836, 0.153, 0.743)
O (0.670, 0.384, 0.006)
O (0.480, 0.758, 0.884)
O (0.649, 0.404, 0.636)
O (0.643, 0.109, 0.547)
O (0.830, 0.384, 0.506)
O (0.143, 0.891, 0.953)
Sb (0.623, 0.163, 0.015)
Sb (0.377, 0.837, 0.985)
Sb (0.877, 0.163, 0.515)
Sb (0.123, 0.837, 0.485)
Sb (0.635, 0.644, 0.516)
Sb (0.135, 0.356, 0.984)
Sb (0.865, 0.644, 0.016)
Sb (0.365, 0.356, 0.484)

Results
**Energy above the most stable polymorph in this dataset**: 0.000 eV per atom
**Space-group type**: No. 14
**Magnetic moment**: 0.00 μB/f.u.

=====

- What is the formula in the ninth record?
  SbPO5